#a
A relaxed structure of TaCuIr2, computed with PBE.

Summary:
* ρ: 17.12 g/cm3

Cell: 3.328 3.328 5.508 Å, 90.00 90.00 90.00°
Element x y z (fractional)
Ir1 0.000 0.000 0.963
Ir2 0.500 0.500 0.273
Cu1 0.500 0.500 0.762
Ta1 0.000 0.000 0.502

---

#b
A relaxed structure of TaCuIr2, computed with PBE.

Summary:
* ρ: 17.41 g/cm3

Cell: 8.975 8.975 8.975 Å, 17.96 17.96 17.96°
Element x y z (fractional)
Cu1 0.750 0.750 0.750
Ir1 0.498 0.498 0.498
Ir2 0.002 0.002 0.002
Ta1 0.250 0.250 0.250

---

#c
A relaxed structure of TaCuIr2, computed with PBE.

Summary:
* ρ: 17.55 g/cm3

Cell: 4.382 4.382 4.382 Å, 60.00 60.00 60.00°
Element x y z (fractional)
Ir1 0.250 0.250 0.250
Ir2 0.750 0.750 0.750
Ta1 0.500 0.500 0.500
Cu1 0.000 0.000 0.000

---

#d
A relaxed structure of TaCuIr2, computed with PBE.

Summary:
* ρ: 17.58 g/cm3

Cell: 4.658 4.658 4.839 Å, 80.96 80.96 35.00°
Element x y z (fractional)
Ta1 0.250 0.250 0.250
Cu1 0.750 0.750 0.750
Ir1 0.500 0.500 0.512
Ir2 0.000 0.000 0.988

---

Most stable: #c (next structure +153 meV/atom)

---

#a
A relaxed structure of TaCuIr2, computed with PBE.

Summary:
* ρ: 15.78 g/cm3

Cell: 6.897 6.897 5.615 Å, 52.11 52.11 90.00°
Element x y z (fractional)
Ir1 0.375 0.367 0.750
Ir2 0.875 0.883 0.750
Ir3 0.117 0.625 0.250
Ir4 0.633 0.125 0.250
Cu1 0.500 0.500 0.000
Cu2 0.250 0.750 0.500
Ta1 0.750 0.250 0.500
Ta2 0.000 0.000 0.000

---

#b
A relaxed structure of TaCuIr2, computed with PBE.

Summary:
* ρ: 17.57 g/cm3

Cell: 3.004 3.487 5.675 Å, 90.00 90.00 90.00°
Element x y z (fractional)
Ta1 0.500 0.500 0.250
Cu1 0.500 0.500 0.750
Ir1 0.000 0.000 0.510
Ir2 0.000 0.000 0.990

---

#c
A relaxed structure of TaCuIr2, computed with PBE.

Summary:
* ρ: 17.32 g/cm3

Cell: 4.401 4.401 4.401 Å, 60.00 60.00 60.00°
Element x y z (fractional)
Cu1 0.500 0.500 0.500
Ta1 0.750 0.750 0.750
Ir1 0.000 0.000 0.000
Ir2 0.250 0.250 0.250

---

#d
A relaxed structure of TaCuIr2, computed with PBE.

Summary:
* ρ: 17.74 g/cm3

Cell: 3.631 4.026 4.026 Å, 90.00 90.00 90.00°
Element x y z (fractional)
Ta1 0.500 0.500 0.000
Ir1 0.000 0.000 0.000
Ir2 0.000 0.500 0.500
Cu1 0.500 0.000 0.500

---

Most stable: #d (next structure +5 meV/atom)

---

#a
A relaxed structure of TaCuIr2, computed with PBE.

Summary:
* ρ: 17.69 g/cm3

Cell: 4.874 4.874 4.874 Å, 133.94 133.96 67.16°
Element x y z (fractional)
Cu1 0.250 0.750 0.500
Ta1 0.500 0.500 0.000
Ir1 0.000 0.000 0.000
Ir2 0.750 0.250 0.500

---

#b
A relaxed structure of TaCuIr2, computed with PBE.

Summary:
* ρ: 17.65 g/cm3

Cell: 2.779 2.779 7.663 Å, 90.00 90.00 89.99°
Element x y z (fractional)
Ta1 0.000 0.000 0.509
Cu1 0.500 0.500 0.758
Ir1 0.000 0.000 0.993
Ir2 0.500 0.500 0.240

---

Most stable: #a (next structure +280 meV/atom)

---

#a
A relaxed structure of Ta2CuIr2, computed with PBE.

Summary:
* ρ: 15.65 g/cm3

Cell: 7.754 7.754 2.859 Å, 90.00 90.00 90.00°
Element x y z (fractional)
Ir1 0.862 0.362 0.500
Ir2 0.138 0.638 0.500
Ir3 0.638 0.862 0.500
Ir4 0.362 0.138 0.500
Ta1 0.155 0.345 0.000
Ta2 0.845 0.655 0.000
Ta3 0.345 0.845 0.000
Ta4 0.655 0.155 0.000
Cu1 0.500 0.500 0.000
Cu2 0.000 0.000 0.000

---

#b
A relaxed structure of Ta2CuIr2, computed with PBE.

Summary:
* ρ: 15.94 g/cm3

Cell: 7.568 7.568 2.947 Å, 90.00 90.00 90.00°
Element x y z (fractional)
Ir1 0.635 0.135 0.000
Ir2 0.135 0.365 0.000
Ir3 0.365 0.865 0.000
Ir4 0.865 0.635 0.000
Cu1 0.500 0.500 0.000
Cu2 0.000 0.000 0.000
Ta1 0.837 0.337 0.500
Ta2 0.663 0.837 0.500
Ta3 0.337 0.163 0.500
Ta4 0.163 0.663 0.500

---

Most stable: #b (next structure +136 meV/atom)

---

#a
A relaxed structure of Tb8Cu2Ir, computed with PBE.

Summary:
* ρ: 9.26 g/cm3

Cell: 5.098 6.703 9.036 Å, 104.93 106.38 90.00°
Element x y z (fractional)
Tb1 0.589 0.440 0.178
Tb2 0.201 0.328 0.401
Tb3 0.411 0.560 0.822
Tb4 0.967 0.208 0.933
Tb5 0.033 0.792 0.067
Tb6 0.666 0.978 0.332
Tb7 0.799 0.672 0.599
Tb8 0.334 0.022 0.668
Cu1 0.187 0.728 0.373
Cu2 0.813 0.272 0.627
Ir1 0.500 0.000 0.000

---

#b
A relaxed structure of Tb8Cu2Ir, computed with PBE.

Summary:
* ρ: 8.74 g/cm3

Cell: 5.983 7.759 7.759 Å, 115.49 101.38 101.38°
Element x y z (fractional)
Tb1 0.179 0.364 0.364
Tb2 0.359 0.911 0.658
Tb3 0.800 0.642 0.642
Tb4 0.590 0.345 0.092
Tb5 0.985 0.801 0.202
Tb6 0.985 0.202 0.801
Tb7 0.359 0.658 0.911
Tb8 0.590 0.092 0.345
Cu1 0.493 0.312 0.703
Cu2 0.493 0.703 0.312
Ir1 0.167 0.005 0.005

---

Most stable: #a (next structure +119 meV/atom)

---

#a
A relaxed structure of TbThCuIr, computed with PBE.

Summary:
* ρ: 12.20 g/cm3

Cell: 4.994 4.994 4.994 Å, 60.00 60.00 60.00°
Element x y z (fractional)
Ir1 0.750 0.750 0.750
Cu1 0.250 0.250 0.250
Tb1 0.000 0.000 0.000
Th1 0.500 0.500 0.500

---

#b
A relaxed structure of TbThCuIr, computed with PBE.

Summary:
* ρ: 11.73 g/cm3

Cell: 3.901 4.176 5.950 Å, 90.00 109.14 90.00°
Element x y z (fractional)
Tb1 0.142 0.000 0.285
Th1 0.868 0.500 0.736
Cu1 0.579 0.500 0.159
Ir1 0.410 0.000 0.820

---

Most stable: #b (next structure +120 meV/atom)

---

#a
A relaxed structure of CuTcIr2, computed with PBE.

Summary:
* ρ: 15.86 g/cm3

Cell: 4.540 4.540 2.774 Å, 90.00 90.00 90.00°
Element x y z (fractional)
Ir1 0.000 0.000 0.000
Ir2 0.500 0.500 0.000
Tc1 0.500 0.000 0.500
Cu1 0.000 0.500 0.500

---

#b
A relaxed structure of CuTcIr2, computed with PBE.

Summary:
* ρ: 15.78 g/cm3

Cell: 4.331 4.331 4.331 Å, 60.00 60.00 60.00°
Last column: magnetic moment on the atom in μB.
Element x y z (fractional)
Tc1 0.500 0.500 0.500  1.36
Cu1 0.000 0.000 0.000  0.02
Ir1 0.250 0.250 0.250  0.30
Ir2 0.750 0.750 0.750  0.30

---

#c
A relaxed structure of CuTcIr2, computed with PBE.

Summary:
* ρ: 16.09 g/cm3

Cell: 3.740 3.881 3.881 Å, 90.00 90.00 90.00°
Last column: magnetic moment on the atom in μB.
Element x y z (fractional)
Ir1 0.000 0.000 0.000  0.06
Ir2 0.000 0.500 0.500  0.06
Tc1 0.500 0.500 0.000  0.46
Cu1 0.500 0.000 0.500  0.05

---

#d
A relaxed structure of CuTcIr2, computed with PBE.

Summary:
* ρ: 16.08 g/cm3

Cell: 8.815 8.815 8.815 Å, 17.88 17.88 17.88°
Element x y z (fractional)
Ir1 0.500 0.500 0.500
Ir2 0.000 0.000 0.000
Tc1 0.250 0.250 0.250
Cu1 0.750 0.750 0.750

---

Most stable: #d (next structure +211 meV/atom)

---

#a
A relaxed structure of CuTcIr, computed with PBE.

Summary:
* ρ: 13.74 g/cm3

Cell: 7.152 6.919 2.667 Å, 84.05 74.18 21.77°
Element x y z (fractional)
Tc1 0.667 0.667 0.333
Cu1 0.000 0.000 0.000
Ir1 0.333 0.333 0.667

---

#b
A relaxed structure of CuTcIr, computed with PBE.

Summary:
* ρ: 14.02 g/cm3

Cell: 2.713 2.713 6.570 Å, 90.00 90.00 120.00°
Element x y z (fractional)
Ir1 0.333 0.667 0.337
Tc1 0.667 0.333 0.664
Cu1 0.000 0.000 0.000

---

Most stable: #b (next structure +226 meV/atom)

---

#a
A relaxed structure of CuTcIr, computed with PBE.

Summary:
* ρ: 14.26 g/cm3

Cell: 4.626 4.626 4.626 Å, 145.53 132.04 60.39°
Element x y z (fractional)
Cu1 0.000 0.000 0.000
Tc1 0.330 0.330 0.000
Ir1 0.670 0.670 0.000

---

#b
A relaxed structure of CuTcIr, computed with PBE.

Summary:
* ρ: 12.24 g/cm3

Cell: 4.117 6.989 7.001 Å, 93.88 107.10 90.00°
Element x y z (fractional)
Tc1 0.723 0.810 0.446
Tc2 0.797 0.427 0.594
Tc3 0.203 0.573 0.406
Tc4 0.277 0.190 0.554
Cu1 0.932 0.731 0.864
Cu2 0.529 0.838 0.059
Cu3 0.471 0.162 0.941
Cu4 0.068 0.269 0.136
Ir1 0.593 0.501 0.186
Ir2 0.662 0.127 0.324
Ir3 0.338 0.873 0.676
Ir4 0.407 0.499 0.814

---

#c
A relaxed structure of CuTcIr, computed with PBE.

Summary:
* ρ: 14.17 g/cm3

Cell: 5.804 5.804 5.804 Å, 152.56 152.56 39.20°
Element x y z (fractional)
Ir1 0.332 0.332 0.000
Tc1 0.669 0.669 0.000
Cu1 0.000 0.000 0.000

---

#d
A relaxed structure of CuTcIr, computed with PBE.

Summary:
* ρ: 14.18 g/cm3

Cell: 4.239 4.239 2.662 Å, 90.00 90.00 120.00°
Element x y z (fractional)
Cu1 0.000 0.000 0.167
Ir1 0.667 0.333 0.166
Tc1 0.333 0.667 0.666

---

Most stable: #a (next structure +33 meV/atom)